The following is a DFT calculation (PBE-GGA) of AsOsAu2 after structural relaxation.

The structure in POSCAR format:
```
AsOsAu2
1.0
-5.3963 4.4601 2.6387
-4.7521 -2.7395 -5.0879
-5.7839 -0.9754 0.4266
Os Au As
2 4 2
direct
0.0000 0.0000 0.0000 Os
0.7500 0.2500 0.5000 Os
0.8750 0.8651 0.7500 Au
0.6151 0.1250 0.2500 Au
0.1349 0.6250 0.2500 Au
0.3750 0.3849 0.7500 Au
0.5000 0.5000 0.0000 As
0.2500 0.7500 0.5000 As
```

Values from the calculation:
DFT total energy in Ry per atom: -0.364
Total magnetic moment in μB per atom: 0.00
Crystal system: tetragonal
Space-group type: I-42d (122)
Density of states at the Fermi level in states/eV/f.u.: 3.22
Energy relative to the elements in eV/atom: 0.658

=====

The following is a DFT calculation (PBE-GGA) of As2OsAu after structural relaxation.

The structure in POSCAR format:
```
As2OsAu
1.0
5.4634 -0.0022 0.0187
4.5611 3.0075 0.0187
0.8516 0.2553 4.5350
Os Au As
1 1 2
direct
0.2778 0.2778 0.2881 Os
0.5329 0.5329 0.4588 Au
0.7383 0.7383 0.7069 As
0.9510 0.9510 0.0462 As
```

Values from the calculation:
DFT total energy in Ry per atom: -0.409
Total magnetic moment in μB per atom: 0.00
Crystal system: monoclinic
Space-group type: Cm (8)
Energy above the lowest structure with this stoichiometry in meV per atom: 157
Density of states at the Fermi level in states/eV/f.u.: 1.77
Energy relative to the elements in eV/atom: 0.380

=====

The following is a DFT calculation (PBE-GGA) of AsOsAu2 after structural relaxation.

The structure in POSCAR format:
```
AsOsAu2
1.0
4.2360 -0.0923 0.0894
3.1364 2.8488 0.0894
0.7724 0.2888 5.8524
Au Os As
2 1 1
direct
0.0121 0.0121 0.0095 Au
0.7587 0.7587 0.7363 Au
0.5004 0.5004 0.4503 Os
0.2286 0.2286 0.3039 As
```

Values from the calculation:
DFT total energy in Ry per atom: -0.380
Total magnetic moment in μB per atom: 0.00
Crystal system: monoclinic
Space-group type: Cm (8)
Density of states at the Fermi level in states/eV/f.u.: 2.44
Energy relative to the elements in eV/atom: 0.433

=====

The following is a DFT calculation (PBE-GGA) of AsOsAu2 after structural relaxation.

The structure in POSCAR format:
```
AsOsAu2
1.0
9.4423 0.0056 0.0033
8.9791 2.9211 0.0033
8.9791 1.4266 2.5491
As Au Os
1 2 1
direct
0.7631 0.7631 0.7631 As
0.2447 0.2447 0.2447 Au
0.9977 0.9977 0.9977 Au
0.4945 0.4945 0.4945 Os
```

Values from the calculation:
DFT total energy in Ry per atom: -0.393
Total magnetic moment in μB per atom: 0.00
Crystal system: trigonal
Space-group type: R3m (160)
Density of states at the Fermi level in states/eV/f.u.: 2.29
Energy relative to the elements in eV/atom: 0.263

=====

The following is a DFT calculation (PBE-GGA) of As2OsAu after structural relaxation.

The structure in POSCAR format:
```
As2OsAu
1.0
4.6112 0.0000 0.0000
0.0000 4.6112 0.0000
0.0000 0.0000 3.1537
As Au Os
2 1 1
direct
0.5000 0.5000 0.0000 As
0.0000 0.0000 0.0000 As
0.5000 0.0000 0.5000 Au
0.0000 0.5000 0.5000 Os
```

Values from the calculation:
DFT total energy in Ry per atom: -0.396
Total magnetic moment in μB per atom: 0.00
Crystal system: tetragonal
Space-group type: P4/mmm (123)
Energy above the lowest structure with this stoichiometry in meV per atom: 346
Density of states at the Fermi level in states/eV/f.u.: 3.40
Energy relative to the elements in eV/atom: 0.570

=====

The following is a DFT calculation (PBE-GGA) of As2OsAu after structural relaxation.

The structure in POSCAR format:
```
As2OsAu
1.0
-3.7168 2.1234 -1.0269
-4.2595 -0.9172 -0.6272
-1.8658 1.0024 5.0926
Au As Os
1 2 1
direct
0.7500 0.7500 0.7500 Au
0.5229 0.5229 0.4643 As
0.9771 0.9771 0.0357 As
0.2500 0.2500 0.2500 Os
```

Values from the calculation:
DFT total energy in Ry per atom: -0.410
Total magnetic moment in μB per atom: 0.00
Crystal system: monoclinic
Space-group type: C2/m (12)
Energy above the lowest structure with this stoichiometry in meV per atom: 152
Density of states at the Fermi level in states/eV/f.u.: 2.93
Energy relative to the elements in eV/atom: 0.375